A geometry-optimized Sr3V2MoO9 structure. Source: the Alexandria database, functional GGA+U.

## Properties
space-group type = P-3m1
total energy = -7.19 eV per atom
volume = 12.505 Å³/atom

```
Sr3V2MoO9
1.0
5.6118 0.0000 0.0000
-2.8059 4.8600 0.0000
0.0000 0.0000 6.8778
Sr O V Mo
3 9 2 1
direct
0.3333 0.6667 0.6774
0.6667 0.3333 0.3226
0.0000 0.0000 0.0000
0.8315 0.6629 0.6756
0.5000 0.0000 0.0000
0.8315 0.1685 0.6756
0.1685 0.8315 0.3244
0.1685 0.3371 0.3244
0.3371 0.1685 0.6756
0.0000 0.5000 0.0000
0.6629 0.8315 0.3244
0.5000 0.5000 0.0000
0.6667 0.3333 0.8369
0.3333 0.6667 0.1631
0.0000 0.0000 0.5000
```